Here is a relaxed structure of HPdPb2 from Alexandria via LeMat-Bulk. Energies are from GGA-PBE.

The calculation puts the total magnetization at 0.00 μB per formula unit. Its total DFT energy (no corrections) is -3.80 eV per atom.

The space group is Fm-3m (No. 225) and the conventional cell measures 6.801, 6.801 and 6.801 Å, with angles of 90.00, 90.00 and 90.00 degrees. The inequivalent atoms are H at (0.000, 0.000, 0.000), Pd at (0.000, 0.000, 0.500) and Pb at (0.250, 0.250, 0.250).